(A)
Density functional theory data (PBE-GGA) for Co2MoPt after structural relaxation.

D(E_F) (states/eV/cell): 3.8
Symmetry: Pmm2 (25)

```
data_Co2MoPt
_cell_length_a 2.686
_cell_length_b 3.721
_cell_length_c 5.297
_cell_angle_alpha 90.00
_cell_angle_beta 90.00
_cell_angle_gamma 90.00
_symmetry_space_group_name_H-M 'P 1'
_symmetry_Int_Tables_number 1
loop_
_symmetry_equiv_pos_as_xyz
'x,y,z'
loop_
_atom_site_label
_atom_site_fract_x
_atom_site_fract_y
_atom_site_fract_z
Co1 0.500 0.500 0.237
Mo1 0.000 0.000 0.477
Pt1 0.500 0.500 0.759
Co2 0.000 0.000 0.028
```


(B)
Density functional theory data (PBE-GGA) for Co2MoPt after structural relaxation.

D(E_F) (states/eV/cell): 4.3
Symmetry: C2/m (12)

```
data_Co2MoPt
_cell_length_a 4.512
_cell_length_b 4.512
_cell_length_c 4.719
_cell_angle_alpha 80.28
_cell_angle_beta 80.28
_cell_angle_gamma 34.68
_symmetry_space_group_name_H-M 'P 1'
_symmetry_Int_Tables_number 1
loop_
_symmetry_equiv_pos_as_xyz
'x,y,z'
loop_
_atom_site_label
_atom_site_fract_x
_atom_site_fract_y
_atom_site_fract_z
Co1 0.001 0.001 0.981
Co2 0.499 0.499 0.519
Pt1 0.250 0.250 0.250
Mo1 0.750 0.750 0.750
```


According to the calculations, the structures order from most to least stable as (A), (B).